DFT (GGA+U) results for a geometry-optimized Pm3WBr2O6 structure.

Cell lengths 12.1360, 6.4737, 5.8132 Å; angles 90.00, 99.72, 90.00 degrees
Closest atoms and distances in Å follow each position.
Space group C2/m (No. 12)
Asymmetric unit:
Pm 0.0000 0.0000 0.0000 [2 per cell]  4 O 2.51
Pm 0.2500 0.2500 0.5000 [4 per cell]  4 O 2.32-2.47
W 0.0000 0.5000 0.5000 [2 per cell]  6 O 1.93-2.03
Br 0.2172 0.0000 0.8904 [4 per cell]  1 O 2.79, 3 Pm 2.81-2.87
O 0.0536 0.2731 0.3039 [8 per cell]  1 W 2.03
O 0.1512 0.5000 0.6668 [4 per cell]  1 W 1.93

Output
E, eV per atom: -6.8480
Theoretical density, g cm⁻³: 6.453
Density of states at the Fermi level, states/eV per cell: 3.31